1.
First-principles (PBE-GGA) data for an optimized crystal structure of Sm6DyCd2, as listed in Alexandria via LeMat-Bulk.

Computed properties:
energy relative to the elements	-12.61	kJ per mole of atoms
offset from the most stable computed form	0	meV per atom
raw total energy	-3.992	eV per atom
calculated volume	557	Å³/cell

Cell lengths 12.822, 3.798, 12.093 Å; angles 90.00, 108.81, 90.00 degrees
Space group C2/m (No. 12)
Inequivalent atoms, fractional coordinates:
1 Sm 0.019 0.000 0.338 x4
2 Sm 0.185 0.500 0.877 x4
3 Sm 0.189 0.500 0.587 x4
4 Dy 0.000 0.000 0.000 x2
5 Cd 0.143 0.500 0.202 x4

***

2.
First-principles (PBE-GGA) data for an optimized crystal structure of Sm3Dy2Cd6, as listed in Alexandria via LeMat-Bulk.

Computed properties:
energy relative to the elements	0.65	kJ per mole of atoms
raw total energy	-2.616	eV per atom
calculated volume	648	Å³/cell

Cell lengths 4.154, 4.154, 37.539 Å; angles 90.00, 90.00, 90.00 degrees
Space group I4/mmm (No. 139)
Inequivalent atoms, fractional coordinates:
1 Sm 0.000 0.000 0.000 x2
2 Sm 0.000 0.000 0.187 x4
3 Dy 0.000 0.000 0.366 x4
4 Cd 0.000 0.000 0.274 x4
5 Cd 0.000 0.500 0.067 x8

***

3.
First-principles (PBE-GGA) data for an optimized crystal structure of SmDy6Cd, as listed in Alexandria via LeMat-Bulk.

Computed properties:
energy relative to the elements	4.82	kJ per mole of atoms
raw total energy	-4.106	eV per atom
calculated volume	744	Å³/cell

Cell lengths 9.2638, 9.2638, 10.0122 Å; angles 90.00, 90.00, 120.00 degrees
Space group R-3 (No. 148, hexagonal axes)
Inequivalent atoms, fractional coordinates:
1 Sm 0.0000 0.0000 0.0000 x3
2 Dy 0.0247 0.7677 0.7163 x18
3 Cd 0.0000 0.0000 0.5000 x3

***

4.
First-principles (PBE-GGA) data for an optimized crystal structure of SmDy2Cd8, as listed in Alexandria via LeMat-Bulk.

Computed properties:
energy relative to the elements	-24.46	kJ per mole of atoms
raw total energy	-2.185	eV per atom
calculated volume	539	Å³/cell

Cell lengths 8.193, 15.897, 5.340 Å; angles 90.00, 129.17, 90.00 degrees
Space group C2/m (No. 12)
Inequivalent atoms, fractional coordinates:
1 Sm 0.000 0.000 0.000 x2
2 Dy 0.000 0.311 0.500 x4
3 Cd 0.000 0.202 0.000 x4
4 Cd 0.009 0.500 0.261 x4
5 Cd 0.232 0.130 0.741 x8

***

5.
First-principles (PBE-GGA) data for an optimized crystal structure of SmDyCd, as listed in Alexandria via LeMat-Bulk.

Computed properties:
energy relative to the elements	-11.09	kJ per mole of atoms
offset from the most stable computed form	80	meV per atom
raw total energy	-3.527	eV per atom
calculated volume	351	Å³/cell

Cell lengths 3.533, 3.500, 28.424 Å; angles 90.00, 90.00, 90.00 degrees
Space group Amm2 (No. 38)
Inequivalent atoms, fractional coordinates:
1 Sm 0.000 0.000 0.000 x2
2 Sm 0.000 0.000 0.153 x2
3 Dy 0.000 0.000 0.305 x2
4 Dy 0.500 0.000 0.892 x2
5 Cd 0.500 0.000 0.576 x2
6 Cd 0.500 0.000 0.731 x2

***

6.
First-principles (PBE-GGA) data for an optimized crystal structure of SmDy2Cd2, as listed in Alexandria via LeMat-Bulk.

Computed properties:
energy relative to the elements	-6.16	kJ per mole of atoms
offset from the most stable computed form	192	meV per atom
raw total energy	-3.215	eV per atom
calculated volume	151	Å³/cell

Cell lengths 5.2293, 5.2293, 6.3784 Å; angles 90.00, 90.00, 120.00 degrees
Space group P-3m1 (No. 164)
Inequivalent atoms, fractional coordinates:
1 Sm 0.0000 0.0000 0.0000 x1
2 Dy 0.3333 0.6667 0.6491 x2
3 Cd 0.3333 0.6667 0.1577 x2

***

7.
First-principles (PBE-GGA) data for an optimized crystal structure of Sm3Dy2Cd2, as listed in Alexandria via LeMat-Bulk.

Computed properties:
energy relative to the elements	-5.13	kJ per mole of atoms
offset from the most stable computed form	102	meV per atom
raw total energy	-3.652	eV per atom
calculated volume	412	Å³/cell

Cell lengths 5.103, 23.108, 3.490 Å; angles 90.00, 90.00, 90.00 degrees
Space group Cmmm (No. 65)
Inequivalent atoms, fractional coordinates:
1 Sm 0.000 0.000 0.000 x2
2 Sm 0.000 0.145 0.000 x4
3 Dy 0.000 0.290 0.500 x4
4 Cd 0.000 0.431 0.500 x4

***

8.
First-principles (PBE-GGA) data for an optimized crystal structure of Sm12Dy5Cd2, as listed in Alexandria via LeMat-Bulk.

Computed properties:
energy relative to the elements	4.32	kJ per mole of atoms
raw total energy	-4.243	eV per atom
calculated volume	1222	Å³/cell

Cell lengths 15.592, 9.243, 8.484 Å; angles 90.00, 92.59, 90.00 degrees
Space group C2/m (No. 12)
Inequivalent atoms, fractional coordinates:
1 Sm 0.057 0.000 0.329 x4
2 Sm 0.081 0.500 0.883 x4
3 Sm 0.126 0.194 0.672 x8
4 Sm 0.148 0.315 0.236 x8
5 Dy 0.000 0.500 0.500 x2
6 Dy 0.197 0.000 0.018 x4
7 Dy 0.233 0.500 0.577 x4
8 Cd 0.000 0.170 0.000 x4

***

9.
First-principles (PBE-GGA) data for an optimized crystal structure of Sm5DyCd3, as listed in Alexandria via LeMat-Bulk.

Computed properties:
energy relative to the elements	-17.13	kJ per mole of atoms
raw total energy	-3.616	eV per atom
calculated volume	531	Å³/cell

Cell lengths 9.3504, 9.3504, 7.0152 Å; angles 90.00, 90.00, 120.00 degrees
Space group P6_3/mcm (No. 193)
Inequivalent atoms, fractional coordinates:
1 Sm 0.0000 0.3339 0.2500 x6
2 Sm 0.3333 0.6667 0.0000 x4
3 Dy 0.0000 0.0000 0.0000 x2
4 Cd 0.0000 0.3305 0.7500 x6

***

10.
First-principles (PBE-GGA) data for an optimized crystal structure of Sm2Dy3Cd, as listed in Alexandria via LeMat-Bulk.

Computed properties:
energy relative to the elements	26.82	kJ per mole of atoms
offset from the most stable computed form	374	meV per atom
raw total energy	-3.749	eV per atom
calculated volume	376	Å³/cell

Cell lengths 6.367, 10.217, 5.782 Å; angles 90.00, 90.00, 90.00 degrees
Space group Imm2 (No. 44)
Inequivalent atoms, fractional coordinates:
1 Sm 0.000 0.180 0.000 x4
2 Dy 0.000 0.000 0.499 x2
3 Dy 0.000 0.343 0.501 x4
4 Cd 0.000 0.500 0.002 x2

***

11.
First-principles (PBE-GGA) data for an optimized crystal structure of Sm6Dy2Cd, as listed in Alexandria via LeMat-Bulk.

Computed properties:
energy relative to the elements	-1.36	kJ per mole of atoms
offset from the most stable computed form	22	meV per atom
raw total energy	-4.285	eV per atom
calculated volume	572	Å³/cell

Cell lengths 10.652, 10.652, 5.040 Å; angles 90.00, 90.00, 90.00 degrees
Space group P4_2/mnm (No. 136)
Inequivalent atoms, fractional coordinates:
1 Sm 0.001 0.332 0.000 x8
2 Sm 0.162 0.838 0.500 x4
3 Dy 0.166 0.166 0.500 x4
4 Cd 0.000 0.000 0.000 x2

***

12.
First-principles (PBE-GGA) data for an optimized crystal structure of Sm8DyCd2, as listed in Alexandria via LeMat-Bulk.

Computed properties:
energy relative to the elements	1.94	kJ per mole of atoms
raw total energy	-3.997	eV per atom
calculated volume	716	Å³/cell

Cell lengths 8.871, 15.383, 5.706 Å; angles 90.00, 113.10, 90.00 degrees
Space group C2/m (No. 12)
Inequivalent atoms, fractional coordinates:
1 Sm 0.000 0.220 0.000 x4
2 Sm 0.099 0.500 0.798 x4
3 Sm 0.206 0.112 0.613 x8
4 Dy 0.000 0.000 0.000 x2
5 Cd 0.000 0.306 0.500 x4

***

raw total energy of number 3 (SmDy6Cd)? -4.106 eV per atom

***

Look up the calculated volume of the fourth one. 539 Å³/cell